Computed, not measured: TbNbIn after structural relaxation at the GGA-PBE level of DFT.

a = 6.9547 Å, b = 6.9547 Å, c = 6.9547 Å
α = 90.00°, β = 90.00°, γ = 90.00°
Space group F-43m (No. 216)
One atom of each set of equivalent atoms:
Tb 0.0000 0.0000 0.0000 (multiplicity 4)
Nb 0.2500 0.2500 0.7500 (multiplicity 4)
In 0.0000 0.0000 0.5000 (multiplicity 4)

Summary:
Total DFT energy (no corrections) ... -5.21 eV per atom